# KAlF5, relaxed, DFT GGA-PBE
data_KAlF5
_chemical_formula_sum 'K4 Al4 F20'
_symmetry_space_group_name_H-M 'C 1 2/c 1'
_symmetry_Int_Tables_number 15
_cell_length_a 9.628
_cell_length_b 7.283
_cell_length_c 7.528
_cell_angle_alpha 90.00
_cell_angle_beta 113.18
_cell_angle_gamma 90.00
loop_
_symmetry_equiv_pos_as_xyz
'x,y,z'
'-x,-y,-z'
'-x,y,-z+1/2'
'x,-y,z+1/2'
'x+1/2,y+1/2,z'
'-x+1/2,-y+1/2,-z'
'-x+1/2,y+1/2,-z+1/2'
'x+1/2,-y+1/2,z+1/2'
loop_
_atom_site_label
_atom_site_type_symbol
_atom_site_fract_x
_atom_site_fract_y
_atom_site_fract_z
K1 K 0.000 0.025 0.250
Al1 Al 0.000 0.500 0.000
F1 F 0.000 0.470 0.250
F2 F 0.010 0.256 0.981
F3 F 0.201 0.486 0.602
# uncorrected formation energy: -2820 meV per atom
# calculated density: 2.20 g/cm3
# magnetic moment: 4.15 μB/cell
# total DFT energy (no corrections): -4.85 eV per atom